(1)
# TmLuPd

An optimized crystal structure of TmLuPd (PBE, OQMD via LeMat-Bulk).

Cell and atoms, written as POSCAR:
```
TmLuPd
1.0
3.489 -1.068 3.099
-0.278 1.514 4.532
-0.807 -3.135 3.526
Pd Tm Lu
1 1 1
Direct
0.000 0.000 0.000
0.750 0.750 0.750
0.250 0.250 0.250
```

Properties
- space-group type = F-43m (216)
- crystal system = cubic
- distance to the lowest polymorph of the same formula (eV per formula unit) = 0.43
- energy of formation (eV per atom) = -0.54

(2)
# Tb3HoPt4

An optimized crystal structure of Tb3HoPt4 (PBE, OQMD via LeMat-Bulk).

Cell and atoms, written as POSCAR:
```
Tb3HoPt4
1.0
-1.938 -4.598 2.498
2.736 -2.533 -2.541
5.044 0.552 4.880
Pt Ho Tb
4 1 3
Direct
0.154 0.000 0.044
0.344 0.000 0.546
0.845 0.500 0.953
0.656 0.500 0.457
0.860 0.000 0.682
0.360 0.500 0.818
0.140 0.500 0.319
0.640 0.000 0.182
```

Properties
- space-group type = Pm (6)
- crystal system = monoclinic
- energy of formation (eV per atom) = -1.28

(3)
# Zr2Sn

An optimized crystal structure of Zr2Sn (PBE, OQMD via LeMat-Bulk).

Cell and atoms, written as POSCAR:
```
Zr2Sn
1.0
-2.520 4.005 2.441
-6.832 -6.174 3.076
2.819 -0.919 4.417
Zr Sn
8 4
Direct
0.500 0.155 0.000
0.459 0.833 0.000
0.374 0.333 0.500
0.008 0.333 0.000
0.826 0.833 0.500
0.333 0.655 0.500
0.500 0.512 0.000
0.333 0.012 0.500
0.987 0.002 0.000
0.846 0.502 0.500
0.846 0.165 0.500
0.987 0.665 0.000
```

Properties
- space-group type = Pmmn (59)
- electronic total energy (eV per atom) = -7.28
- crystal system = orthorhombic